[1]
A plane-wave DFT calculation with meta-GGA SCAN was carried out for a PBEsol-optimized structure of SbPb2Se.

Lattice parameters (Å, degrees): 5.298 5.298 5.298 60.00 60.00 60.00
Element x y z (fractional)
1 Se 0.250 0.250 0.250
2 Pb 0.750 0.750 0.750
3 Pb 0.000 0.000 0.000
4 Sb 0.500 0.500 0.500

Properties
Formation energy (no corrections), kJ/mol of atoms: 12.5
Fermi-level density of states, states/eV per cell: 2.89
Energy above the lowest structure with this stoichiometry, meV/atom: 366


[2]
A plane-wave DFT calculation with meta-GGA SCAN was carried out for a PBEsol-optimized structure of YCdP.

Lattice parameters (Å, degrees): 3.463 3.463 6.014 102.63 102.63 103.94
Element x y z (fractional)
1 Cd 0.020 0.020 0.039
2 P 0.670 0.670 0.340
3 Y 0.310 0.310 0.620

Properties
DFT formation energy, eV per atom: -0.60
Fermi-level density of states, states/eV per cell: 0.55